(1)
This record from Alexandria via LeMat-Bulk describes TaMnAu after structural relaxation. The functional is GGA-PBEsol.

Cell lengths 3.1098, 3.4021, 4.9280 Å; angles 110.19, 108.39, 90.00 degrees
Last column: nearest neighbours and their distance in Å.
Fractional coordinates of all 3 atoms:
Au 0.9967 0.9967 0.9933  5 Mn 2.76-2.84, 5 Ta 2.76-2.80
Mn 0.3232 0.3232 0.6465  4 Ta 2.62, 5 Au 2.76-2.84
Ta 0.6801 0.6801 0.3602  4 Mn 2.62, 5 Au 2.76-2.80

Properties
**Total magnetic moment**: 1.80 μB per cell
**Uncorrected energy**: -8.713 eV per atom

---

(2)
This record from Alexandria via LeMat-Bulk describes MnTc2Au after structural relaxation. The functional is GGA-PBEsol.

Cell lengths 4.3248, 4.3248, 4.3248 Å; angles 60.00, 60.00, 60.00 degrees
Last column: nearest neighbours and their distance in Å.
Fractional coordinates of all 4 atoms:
Au 0.0000 0.0000 0.0000  8 Tc 2.65
Mn 0.5000 0.5000 0.5000  8 Tc 2.65
Tc 0.2500 0.2500 0.2500  4 Mn 2.65, 4 Au 2.65
Tc 0.7500 0.7500 0.7500  4 Mn 2.65, 4 Au 2.65

Properties
**Total magnetic moment**: 2.28 μB per cell
**Uncorrected energy**: -8.533 eV per atom

---

(3)
This record from Alexandria via LeMat-Bulk describes MnTcAu2 after structural relaxation. The functional is GGA-PBEsol.

Cell lengths 4.4549, 4.4549, 4.4549 Å; angles 60.00, 60.00, 60.00 degrees
Last column: nearest neighbours and their distance in Å.
Fractional coordinates of all 4 atoms:
Mn 0.0000 0.0000 0.0000  8 Au 2.73
Au 0.2500 0.2500 0.2500  4 Mn 2.73, 4 Tc 2.73
Au 0.7500 0.7500 0.7500  4 Mn 2.73, 4 Tc 2.73
Tc 0.5000 0.5000 0.5000  8 Au 2.73

Properties
**Total magnetic moment**: 2.17 μB per cell
**Uncorrected energy**: -6.818 eV per atom

---

| no. | formation energy (meV/atom) | Fermi-level density of states (states/eV/atom) |
| --- | --- | --- |
| 1 | 32 | 1.011 |
| 2 | 522 | 1.580 |
| 3 | 401 | 0.722 |